No. 1
Sc2Cu2Ge4O13 | GGA-PBE | relaxed

Computed properties:
- formation energy from raw total energies (kJ per mole of atoms) = -182
- symmetry = P2_1/m

Cell: 8.8839 4.9854 12.4401 Å, 83.86 90.00 90.00°
Fractional coordinates of all 42 atoms:
Sc  0.0622  0.0459  0.6270
Sc  0.5622  0.9541  0.3730
Sc  0.9378  0.9541  0.3730
Sc  0.4378  0.0459  0.6270
Cu  0.9981  0.0471  0.8769
Cu  0.4981  0.9529  0.1231
Cu  0.0019  0.9529  0.1231
Cu  0.5019  0.0471  0.8769
Ge  0.7500  0.3979  0.5154
Ge  0.2500  0.6021  0.4846
Ge  0.7500  0.6114  0.9929
Ge  0.2500  0.3886  0.0071
Ge  0.7500  0.6773  0.7511
Ge  0.2500  0.3227  0.2489
Ge  0.7500  0.5099  0.2334
Ge  0.2500  0.4901  0.7666
O  0.4167  0.1959  0.0043
O  0.9167  0.8041  0.9957
O  0.5833  0.8041  0.9957
O  0.0833  0.1959  0.0043
O  0.7500  0.7095  0.4331
O  0.2500  0.2905  0.5669
O  0.4153  0.1230  0.2526
O  0.9153  0.8770  0.7474
O  0.5847  0.8770  0.7474
O  0.0847  0.1230  0.2526
O  0.4166  0.7933  0.4943
O  0.9166  0.2067  0.5057
O  0.5834  0.2067  0.5057
O  0.0834  0.7933  0.4943
O  0.7500  0.4491  0.8728
O  0.2500  0.5509  0.1272
O  0.2500  0.7884  0.6763
O  0.7500  0.2116  0.3237
O  0.2500  0.5458  0.3467
O  0.7500  0.4542  0.6533
O  0.2500  0.6329  0.8932
O  0.7500  0.3671  0.1068
O  0.0876  0.2855  0.7581
O  0.5876  0.7145  0.2419
O  0.9124  0.7145  0.2419
O  0.4124  0.2855  0.7581


No. 2
SmY3Ho4 | GGA-PBE | relaxed

Computed properties:
- formation energy (eV/f.u.) = 0.04
- distance to the lowest polymorph of the same formula (eV per formula unit) = 0.00
- symmetry = Pmn2_1

Cell: 6.2881 7.2823 11.2645 Å, 90.00 90.00 90.00°
Fractional coordinates of all 16 atoms:
Sm  0.1461  0.3724  0.0000
Sm  0.6461  0.6276  0.5000
Y  0.6454  0.6265  0.0000
Y  0.9819  0.6269  0.2496
Y  0.4819  0.3731  0.2504
Y  0.1454  0.3735  0.5000
Y  0.4819  0.3731  0.7496
Y  0.9819  0.6269  0.7504
Ho  0.1489  0.8773  0.0000
Ho  0.6499  0.1231  0.0000
Ho  0.9806  0.1230  0.2507
Ho  0.4806  0.8770  0.2493
Ho  0.1499  0.8769  0.5000
Ho  0.6489  0.1227  0.5000
Ho  0.4806  0.8770  0.7507
Ho  0.9806  0.1230  0.7493


No. 3
LaI | GGA-PBE | relaxed

Computed properties:
- formation energy from raw total energies (kJ per mole of atoms) = -84
- symmetry = P6_3/m

Cell: 12.1315 12.1315 3.9799 Å, 90.00 90.00 120.00°
Fractional coordinates of all 12 atoms:
La  0.8670  0.3761  0.2500
La  0.4910  0.8670  0.7500
La  0.6239  0.4910  0.2500
La  0.1330  0.6239  0.7500
La  0.5090  0.1330  0.2500
La  0.3761  0.5090  0.7500
I  0.7288  0.0550  0.2500
I  0.6738  0.7288  0.7500
I  0.9450  0.6738  0.2500
I  0.2712  0.9450  0.7500
I  0.3262  0.2712  0.2500
I  0.0550  0.3262  0.7500